Model one:
# NdSmPa

An optimized crystal structure of NdSmPa (GGA-PBE, Alexandria).

a b c (Å): 3.4113 3.4113 15.8699
angles (deg): 90.00 90.00 90.00
Space group I4mm (No. 107)
One atom of each set of equivalent atoms:
Nd 0.0000 0.0000 0.0000
Sm 0.0000 0.0000 0.6939
Pa 0.0000 0.0000 0.3460


Model two:
# NdSmPa

An optimized crystal structure of NdSmPa (GGA-PBE, Alexandria).

a b c (Å): 4.4801 21.7250 4.0121
angles (deg): 90.00 90.00 90.00
Space group Cmcm (No. 63)
One atom of each set of equivalent atoms:
Nd 0.0000 0.1043 0.2500
Sm 0.0000 0.2970 0.2500
Pa 0.0000 0.4588 0.2500


It comes down to model one, which is 16.2 kJ/mol of atoms more stable than the next structure.


Model one:
# NdPaSn2

An optimized crystal structure of NdPaSn2 (GGA-PBE, Alexandria).

a b c (Å): 4.9603 4.9603 4.4094
angles (deg): 90.00 90.00 90.00
Space group P4/mmm (No. 123)
One atom of each set of equivalent atoms:
Nd 0.0000 0.0000 0.0000
Pa 0.5000 0.5000 0.0000
Sn 0.0000 0.5000 0.5000


Model two:
# NdPaSn2

An optimized crystal structure of NdPaSn2 (GGA-PBE, Alexandria).

a b c (Å): 3.3026 3.3026 36.1861
angles (deg): 90.00 90.00 120.00
Space group R-3m (No. 166, hexagonal axes)
One atom of each set of equivalent atoms:
Nd 0.0000 0.0000 0.0000
Pa 0.0000 0.0000 0.5000
Sn 0.0000 0.0000 0.4121


Model three:
# NdPaSn2

An optimized crystal structure of NdPaSn2 (GGA-PBE, Alexandria).

a b c (Å): 7.6404 7.6404 7.6404
angles (deg): 90.00 90.00 90.00
Space group Fm-3m (No. 225)
One atom of each set of equivalent atoms:
Nd 0.0000 0.0000 0.0000
Pa 0.0000 0.0000 0.5000
Sn 0.2500 0.2500 0.2500


Model four:
# NdPaSn2

An optimized crystal structure of NdPaSn2 (GGA-PBE, Alexandria).

a b c (Å): 3.4446 3.4446 9.0633
angles (deg): 90.00 90.00 90.00
Space group P4/mmm (No. 123)
One atom of each set of equivalent atoms:
Nd 0.0000 0.0000 0.0000
Pa 0.0000 0.0000 0.5000
Sn 0.5000 0.5000 0.2560


It comes down to model four, which is 4.4 kJ/mol of atoms more stable than the next structure.


Model one:
# Tb2NdPa

An optimized crystal structure of Tb2NdPa (GGA-PBE, Alexandria).

a b c (Å): 3.4301 3.4301 10.3624
angles (deg): 90.00 90.00 90.00
Space group P4/mmm (No. 123)
One atom of each set of equivalent atoms:
Tb 0.0000 0.0000 0.2282
Nd 0.5000 0.5000 0.5000
Pa 0.5000 0.5000 0.0000


Model two:
# Tb2NdPa

An optimized crystal structure of Tb2NdPa (GGA-PBE, Alexandria).

a b c (Å): 3.3584 3.3584 37.1818
angles (deg): 90.00 90.00 120.00
Space group R-3m (No. 166, hexagonal axes)
One atom of each set of equivalent atoms:
Tb 0.0000 0.0000 0.0863
Nd 0.0000 0.0000 0.5000
Pa 0.0000 0.0000 0.0000


It comes down to model one, which is 17.2 kJ/mol of atoms more stable than the next structure.


Model one:
# NdPaTc

An optimized crystal structure of NdPaTc (GGA-PBE, Alexandria).

a b c (Å): 3.5184 3.5184 11.5616
angles (deg): 90.00 90.00 90.00
Space group I4mm (No. 107)
One atom of each set of equivalent atoms:
Nd 0.0000 0.0000 0.0000
Pa 0.0000 0.0000 0.7009
Tc 0.0000 0.0000 0.3042


Model two:
# NdPaTc

An optimized crystal structure of NdPaTc (GGA-PBE, Alexandria).

a b c (Å): 4.3357 4.3357 5.0491
angles (deg): 90.00 90.00 120.00
Space group P-6m2 (No. 187)
One atom of each set of equivalent atoms:
Nd 0.0000 0.0000 0.0000
Pa 0.6667 0.3333 0.5000
Tc 0.3333 0.6667 0.5000


It comes down to model one, which is 8.2 kJ/mol of atoms more stable than the next structure.